No. 1
InAsPd5 | GGA-PBE | relaxed

It has space group P4/mmm (No. 123), with a = 4.0516 Å, b = 4.0516 Å, c = 7.0888 Å, α = 90.00°, β = 90.00° and γ = 90.00°. The distinct sites, in fractional coordinates, are In at (0.0000, 0.0000, 0.0000), As at (0.5000, 0.5000, 0.5000), Pd at (0.0000, 0.5000, 0.2887) and Pd at (0.5000, 0.5000, 0.0000).

Its calculated volume is 116.4 Å³/cell. The spin magnetization comes out at 0.00 μB/atom.

---

No. 2
In2AsPd4 | GGA-PBE | relaxed

It has space group I4/mmm (No. 139), with a = 4.6427 Å, b = 4.6427 Å, c = 13.8648 Å, α = 90.00°, β = 90.00° and γ = 90.00°. The distinct sites, in fractional coordinates, are In at (0.0000, 0.0000, 0.1357), As at (0.0000, 0.0000, 0.5000), Pd at (0.0000, 0.0000, 0.3254) and Pd at (0.0000, 0.5000, 0.0000).

Its calculated volume is 298.9 Å³/cell. The spin magnetization comes out at 0.00 μB/atom.

---

No. 3
InAs2Pd2 | GGA-PBE | relaxed

It has space group I4/mmm (No. 139), with a = 4.4238 Å, b = 4.4238 Å, c = 10.3720 Å, α = 90.00°, β = 90.00° and γ = 90.00°. The distinct sites, in fractional coordinates, are In at (0.0000, 0.0000, 0.0000), As at (0.0000, 0.0000, 0.3717) and Pd at (0.0000, 0.5000, 0.2500).

Its calculated volume is 203.0 Å³/cell. The spin magnetization comes out at 0.00 μB/atom.

---

No. 4
In12As5Pd3 | GGA-PBE | relaxed

It has space group Ia-3d (No. 230), with a = 16.1178 Å, b = 16.1178 Å, c = 16.1178 Å, α = 90.00°, β = 90.00° and γ = 90.00°. The distinct sites, in fractional coordinates, are In at (0.0196, 0.0834, 0.6519), As at (0.0000, 0.0000, 0.0000), As at (0.0000, 0.2500, 0.3750) and Pd at (0.0000, 0.2500, 0.1250).

Its calculated volume is 4187.1 Å³/cell. The spin magnetization comes out at 0.00 μB/atom.

---

No. 5
InAs2Pd2 | GGA-PBE | relaxed

It has space group P4/mbm (No. 127), with a = 7.8321 Å, b = 7.8321 Å, c = 3.0217 Å, α = 90.00°, β = 90.00° and γ = 90.00°. The distinct sites, in fractional coordinates, are In at (0.0000, 0.0000, 0.0000), As at (0.1427, 0.3573, 0.5000) and Pd at (0.1468, 0.6468, 0.0000).

Its calculated volume is 185.4 Å³/cell. The spin magnetization comes out at 0.00 μB/atom.

---

No. 6
InAsPd4 | GGA-PBE | relaxed

It has space group Pnma (No. 62), with a = 7.1459 Å, b = 3.2610 Å, c = 17.0626 Å, α = 90.00°, β = 90.00° and γ = 90.00°. The distinct sites, in fractional coordinates, are In at (0.2113, 0.2500, 0.1885), As at (0.2434, 0.7500, 0.4469), Pd at (0.0201, 0.7500, 0.2923), Pd at (0.0382, 0.7500, 0.5673), Pd at (0.1068, 0.7500, 0.0569) and Pd at (0.1600, 0.7500, 0.8426).

Its distance to the lowest polymorph of the same formula is 0.000 eV/atom. Its calculated volume is 397.6 Å³/cell. The spin magnetization comes out at 0.00 μB/atom.

---

No. 7
InAs2Pd4 | GGA-PBE | relaxed

It has space group Cmcm (No. 63), with a = 4.5435 Å, b = 7.8680 Å, c = 13.2911 Å, α = 90.00°, β = 90.00° and γ = 90.00°. The distinct sites, in fractional coordinates, are In at (0.0000, 0.0008, 0.2500), As at (0.0000, 0.3334, 0.0588), Pd at (0.0000, 0.0000, 0.0000), Pd at (0.0000, 0.3325, 0.6397) and Pd at (0.0000, 0.3342, 0.2500).

Its calculated volume is 475.1 Å³/cell. The spin magnetization comes out at 0.00 μB/atom.

---

No. 8
InAsPd4 | GGA-PBE | relaxed

It has space group C2/c (No. 15), with a = 7.3560 Å, b = 11.0856 Å, c = 5.2978 Å, α = 90.00°, β = 109.85° and γ = 90.00°. The distinct sites, in fractional coordinates, are In at (0.0000, 0.1117, 0.2500), As at (0.0000, 0.4899, 0.2500), Pd at (0.1081, 0.3146, 0.5678) and Pd at (0.2039, 0.1028, 0.8722).

Its distance to the lowest polymorph of the same formula is 0.152 eV/atom. Its calculated volume is 406.3 Å³/cell. The spin magnetization comes out at 0.00 μB/atom.

---

| no. | energy relative to the elements (kJ/mol of atoms) |
| --- | --- |
| 1 | -47 |
| 2 | -6 |
| 3 | -18 |
| 4 | -14 |
| 5 | -15 |
| 6 | -43 |
| 7 | -29 |
| 8 | -28 |